Density functional theory data (PBE) for an optimized crystal structure of PmTmPt2.

Summary:
energy above the lowest structure with this stoichiometry	0.064	eV per atom
DOS at the Fermi energy	3.09	states/eV/f.u.
V	21.8	Å³ per atom

Geometry as POSCAR:
```
PmTmPt2
1.0
3.505 0.000 0.000
0.000 3.505 0.000
0.000 0.000 7.083
Pm Tm Pt
1 1 2
Cartesian
0.000 0.000 0.000
0.000 0.000 3.541
1.753 1.753 1.905
1.753 1.753 5.178
```

---

Density functional theory data (PBE) for an optimized crystal structure of SrAcCdGe.

Summary:
energy above the lowest structure with this stoichiometry	0.071	eV per atom
DOS at the Fermi energy	3.49	states/eV/f.u.
V	31.2	Å³ per atom

Geometry as POSCAR:
```
SrAcCdGe
1.0
0.000 3.966 3.966
3.966 0.000 3.966
3.966 3.966 0.000
Sr Ac Cd Ge
1 1 1 1
Cartesian
0.000 0.000 0.000
3.966 3.966 3.966
1.983 1.983 1.983
5.948 5.948 5.948
```

---

Density functional theory data (PBE) for an optimized crystal structure of CrTcS3.

Summary:
energy above the lowest structure with this stoichiometry	0.000	eV per atom
ΔE_f (raw)	683	meV per atom
DOS at the Fermi energy	7.81	states/eV/f.u.
V	17.9	Å³ per atom

Geometry as POSCAR:
```
CrTcS3
1.0
4.471 0.000 0.000
0.000 4.471 0.000
0.000 0.000 4.471
Cr Tc S
1 1 3
Cartesian
0.000 0.000 0.000
2.236 2.236 2.236
0.000 0.000 2.236
0.000 2.236 0.000
2.236 0.000 0.000
```

---

Density functional theory data (PBE) for an optimized crystal structure of TaIn2Br8.

Summary:
ΔE_f (raw)	-795	meV per atom
DOS at the Fermi energy	2.82	states/eV/f.u.
V	39.4	Å³ per atom

Geometry as POSCAR:
```
TaIn2Br8
1.0
6.452 0.000 0.000
-0.184 8.422 0.000
-1.830 -2.583 7.967
Ta In Br
1 2 8
Cartesian
0.000 0.000 0.000
0.304 2.430 3.362
4.134 3.409 4.605
-0.989 3.590 7.302
1.074 -0.094 2.363
0.152 -1.376 7.073
2.325 3.986 2.448
2.112 1.854 5.519
4.286 7.215 0.893
3.364 5.933 5.603
5.427 2.249 0.664
```